A relaxed structure of Sc5Ga6Si. Source: Alexandria via LeMat-Bulk, functional GGA-PBE.

abc: 7.904 7.904 4.153
angles: 105.15 105.15 63.03
Positions (direct):
Sc: 0.000 0.000 0.000
Sc: 0.171 0.171 0.671
Sc: 0.359 0.359 0.359
Sc: 0.641 0.641 0.641
Sc: 0.829 0.829 0.329
Ga: 0.074 0.584 0.829
Ga: 0.237 0.763 0.500
Ga: 0.416 0.926 0.171
Ga: 0.584 0.074 0.829
Ga: 0.763 0.237 0.500
Ga: 0.926 0.416 0.171
Si: 0.500 0.500 0.000

Properties
Space group   C2/m, No. 12
Energy relative to the elements, uncorrected   -0.52 eV/atom
Final energy   -5.119 eV/atom